Computed, not measured: La2SbWF after structural relaxation at the PBE with a Hubbard U level of DFT.

Cell lengths 6.2478, 6.2478, 4.3221 Å; angles 90.00, 90.00, 90.00 degrees
Positions (direct):
1 La 0.0000 0.5000 0.0000
2 La 0.5000 0.0000 0.0000
3 Sb 0.0000 0.0000 0.0000
4 W 0.5000 0.5000 0.5000
5 F 0.0000 0.0000 0.5000

Values from the calculation:
As for the symmetry: No. 123. Its total energy is -0.170 hartree per atom. For the density, the calculation gives 5.93 g cm⁻³. As for the density of states at the Fermi level: 5.6 states/eV/cell.